Entry 1:
DFT (GGA-PBE) results for a relaxed PrSm2YAs4 crystal.

Geometry as CIF:
```
data_PrSm2YAs4
_chemical_formula_sum 'Pr1 Sm2 Y1 As4'
_symmetry_space_group_name_H-M 'P 1 2/m 1'
_symmetry_Int_Tables_number 10
_cell_length_a 7.301
_cell_length_b 4.220
_cell_length_c 7.303
_cell_angle_alpha 90.00
_cell_angle_beta 109.47
_cell_angle_gamma 90.00
loop_
_symmetry_equiv_pos_as_xyz
'x,y,z'
'-x,-y,-z'
'-x,y,-z'
'x,-y,z'
loop_
_atom_site_label
_atom_site_type_symbol
_atom_site_fract_x
_atom_site_fract_y
_atom_site_fract_z
_atom_site_occupancy
Pr1 Pr 0.000 0.000 0.000 1
Sm1 Sm 0.000 0.500 0.500 1
Sm2 Sm 0.500 0.000 0.500 1
Y1 Y 0.500 0.500 0.000 1
As1 As 0.255 0.000 0.752 1
As2 As 0.255 0.500 0.252 1
```

- Spin magnetization: 0.000 μB/atom
- ΔE_f: -35.08 kcal/mol of atoms
- Density: 6.50 g cm⁻³
- Total DFT energy (no corrections): -51.45 eV for the cell shown
- Crystal system: monoclinic

=====

Entry 2:
DFT (GGA-PBE) results for a relaxed TeAs2Au2 crystal.

Geometry as CIF:
```
data_TeAs2Au2
_chemical_formula_sum 'Te2 As4 Au4'
_symmetry_space_group_name_H-M 'P 4/m b m'
_symmetry_Int_Tables_number 127
_symmetry_space_group_name_Hall '-P 4 2ab'
_cell_length_a 8.497
_cell_length_b 8.497
_cell_length_c 3.020
_cell_angle_alpha 90.00
_cell_angle_beta 90.00
_cell_angle_gamma 90.00
loop_
_atom_site_label
_atom_site_type_symbol
_atom_site_fract_x
_atom_site_fract_y
_atom_site_fract_z
_atom_site_occupancy
Te1 Te 0.000 0.000 0.000 1
As1 As 0.201 0.299 0.000 1
Au1 Au 0.114 0.614 0.500 1
```

- Formation energy (no corrections): 0.231 eV per atom
- Spin magnetization: 0.000 μB/atom
- Density: 10.23 g cm⁻³
- Total DFT energy (no corrections): -35.68 eV for the cell shown
- Crystal system: tetragonal

=====

Entry 3:
DFT (GGA-PBE) results for a relaxed Mo3WCl crystal.

Geometry as CIF:
```
data_Mo3WCl
_chemical_formula_sum 'Mo3 W1 Cl1'
_symmetry_space_group_name_H-M 'P m -3 m'
_symmetry_Int_Tables_number 221
_symmetry_space_group_name_Hall '-P 4 2 3'
_cell_length_a 4.836
_cell_length_b 4.836
_cell_length_c 4.836
_cell_angle_alpha 90.00
_cell_angle_beta 90.00
_cell_angle_gamma 90.00
loop_
_atom_site_label
_atom_site_type_symbol
_atom_site_fract_x
_atom_site_fract_y
_atom_site_fract_z
_atom_site_occupancy
Mo1 Mo 0.000 0.000 0.500 1
W1 W 0.000 0.000 0.000 1
Cl1 Cl 0.500 0.500 0.500 1
```

- Formation energy (no corrections): 2.065 eV per atom
- Spin magnetization: 0.000 μB/atom
- Density: 7.45 g cm⁻³
- Total DFT energy (no corrections): -36.97 eV for the cell shown
- Crystal system: cubic

=====

Entry 4:
DFT (GGA-PBE) results for a relaxed Sr3Sc2UP6 crystal.

Geometry as CIF:
```
data_Sr3Sc2UP6
_chemical_formula_sum 'Sr6 Sc4 U2 P12'
_symmetry_space_group_name_H-M 'C 1 2/m 1'
_symmetry_Int_Tables_number 12
_cell_length_a 6.949
_cell_length_b 12.034
_cell_length_c 7.250
_cell_angle_alpha 90.00
_cell_angle_beta 108.59
_cell_angle_gamma 90.00
loop_
_symmetry_equiv_pos_as_xyz
'x,y,z'
'-x,-y,-z'
'-x,y,-z'
'x,-y,z'
'x+1/2,y+1/2,z'
'-x+1/2,-y+1/2,-z'
'-x+1/2,y+1/2,-z'
'x+1/2,-y+1/2,z'
loop_
_atom_site_label
_atom_site_type_symbol
_atom_site_fract_x
_atom_site_fract_y
_atom_site_fract_z
_atom_site_occupancy
Sr1 Sr 0.000 0.000 0.000 1
Sr2 Sr 0.000 0.331 0.000 1
Sc1 Sc 0.000 0.166 0.500 1
U1 U 0.000 0.500 0.500 1
P1 P 0.233 0.336 0.707 1
P2 P 0.242 0.000 0.707 1
```

- Spin magnetization: 0.000 μB/atom
- ΔE_f: -27.19 kcal/mol of atoms
- Density: 4.49 g cm⁻³
- Total DFT energy (no corrections): -151.20 eV for the cell shown
- Crystal system: monoclinic

=====

Entry 5:
DFT (GGA-PBE) results for a relaxed TlGe3Br7 crystal.

Geometry as CIF:
```
data_TlGe3Br7
_chemical_formula_sum 'Tl2 Ge6 Br14'
_symmetry_space_group_name_H-M 'C 1 2/m 1'
_symmetry_Int_Tables_number 12
_cell_length_a 11.852
_cell_length_b 9.585
_cell_length_c 7.012
_cell_angle_alpha 90.00
_cell_angle_beta 96.75
_cell_angle_gamma 90.00
loop_
_symmetry_equiv_pos_as_xyz
'x,y,z'
'-x,-y,-z'
'-x,y,-z'
'x,-y,z'
'x+1/2,y+1/2,z'
'-x+1/2,-y+1/2,-z'
'-x+1/2,y+1/2,-z'
'x+1/2,-y+1/2,z'
loop_
_atom_site_label
_atom_site_type_symbol
_atom_site_fract_x
_atom_site_fract_y
_atom_site_fract_z
_atom_site_occupancy
Tl1 Tl 0.000 0.000 0.000 1
Ge1 Ge 0.000 0.296 0.500 1
Ge2 Ge 0.000 0.500 0.000 1
Br1 Br 0.000 0.000 0.500 1
Br2 Br 0.133 0.293 0.200 1
Br3 Br 0.138 0.500 0.687 1
```

- Formation energy (no corrections): -0.554 eV per atom
- Spin magnetization: 0.000 μB/atom
- Density: 4.12 g cm⁻³
- Total DFT energy (no corrections): -68.04 eV for the cell shown
- Crystal system: monoclinic

=====

Entry 6:
DFT (GGA-PBE) results for a relaxed RbPr2PbO5 crystal.

Geometry as CIF:
```
data_RbPr2PbO5
_chemical_formula_sum 'Rb4 Pr8 Pb4 O20'
_symmetry_space_group_name_H-M 'I 4/m c m'
_symmetry_Int_Tables_number 140
_symmetry_space_group_name_Hall '-I 4 2c'
_cell_length_a 7.019
_cell_length_b 7.019
_cell_length_c 12.880
_cell_angle_alpha 90.00
_cell_angle_beta 90.00
_cell_angle_gamma 90.00
loop_
_atom_site_label
_atom_site_type_symbol
_atom_site_fract_x
_atom_site_fract_y
_atom_site_fract_z
_atom_site_occupancy
Rb1 Rb 0.000 0.000 0.250 1
Pr1 Pr 0.178 0.322 0.000 1
Pb1 Pb 0.000 0.500 0.250 1
O1 O 0.000 0.000 0.000 1
O2 O 0.143 0.357 0.383 1
```

- Formation energy (no corrections): -2.169 eV per atom
- Spin magnetization: 0.109 μB/atom
- Density: 6.85 g cm⁻³
- Total DFT energy (no corrections): -234.19 eV for the cell shown
- Crystal system: tetragonal

=====

Entry 7:
DFT (GGA-PBE) results for a relaxed HoTh2Nb crystal.

Geometry as CIF:
```
data_HoTh2Nb
_chemical_formula_sum 'Ho3 Th6 Nb3'
_symmetry_space_group_name_H-M 'R -3 m'
_symmetry_Int_Tables_number 166
_symmetry_space_group_name_Hall '-R 3 2"'
_cell_length_a 3.3504
_cell_length_b 3.3504
_cell_length_c 35.4454
_cell_angle_alpha 90.00
_cell_angle_beta 90.00
_cell_angle_gamma 120.00
loop_
_atom_site_label
_atom_site_type_symbol
_atom_site_fract_x
_atom_site_fract_y
_atom_site_fract_z
_atom_site_occupancy
Ho1 Ho 0.0000 0.0000 0.0000 1
Th1 Th 0.0000 0.0000 0.4189 1
Nb1 Nb 0.0000 0.0000 0.5000 1
```

- Spin magnetization: 0.000 μB/atom
- ΔE_f: 12.44 kcal/mol of atoms
- Density: 10.44 g cm⁻³
- Total DFT energy (no corrections): -81.99 eV for the cell shown
- Crystal system: trigonal

=====

Entry 8:
DFT (GGA-PBE) results for a relaxed Co2PbSe crystal.

Geometry as CIF:
```
data_Co2PbSe
_chemical_formula_sum 'Co8 Pb4 Se4'
_symmetry_space_group_name_H-M 'F m -3 m'
_symmetry_Int_Tables_number 225
_symmetry_space_group_name_Hall '-F 4 2 3'
_cell_length_a 6.421
_cell_length_b 6.421
_cell_length_c 6.421
_cell_angle_alpha 90.00
_cell_angle_beta 90.00
_cell_angle_gamma 90.00
loop_
_atom_site_label
_atom_site_type_symbol
_atom_site_fract_x
_atom_site_fract_y
_atom_site_fract_z
_atom_site_occupancy
Co1 Co 0.250 0.250 0.250 1
Pb1 Pb 0.000 0.000 0.000 1
Se1 Se 0.000 0.000 0.500 1
```

- Formation energy (no corrections): 0.477 eV per atom
- Spin magnetization: 0.642 μB/atom
- Density: 10.14 g cm⁻³
- Total DFT energy (no corrections): -77.98 eV for the cell shown
- Crystal system: cubic